Computed, not measured: a relaxed Pm4CoSeBr2 crystal at the PBE level of DFT.

Values from the calculation:
Total moment = 0.00 μB per cell
Formation energy from raw total energies = -860 kJ/mol of formula units
DOS at the Fermi energy = 5.53 states/eV/f.u.
SG = P2/m, No. 10

a = 3.993 Å, b = 7.532 Å, c = 7.769 Å
α = 107.17°, β = 90.00°, γ = 90.00°
Element x y z (fractional)
Co: 0.000 0.000 0.000
Pm: 0.000 0.244 0.794
Pm: 0.000 0.756 0.206
Pm: 0.500 0.202 0.194
Pm: 0.500 0.798 0.806
Br: 0.500 0.000 0.500
Br: 0.000 0.500 0.500
Se: 0.500 0.500 0.000